(1)
Material: Sb2PtBr
Method: DFT, PBE
State: optimized geometry

## Properties
Its final energy is -3.830 eV/atom. For the spin magnetization, the calculation gives 0.00 μB per formula unit. The calculation puts the density at 8632 kg/m3. The calculation puts the energy relative to the lowest polymorph listed for this composition at 574 meV per atom.

Geometry as CIF:
```
data_Sb2PtBr
_chemical_formula_sum 'Sb4 Pt2 Br2'
_symmetry_space_group_name_H-M 'C m m 2'
_symmetry_Int_Tables_number 35
_cell_length_a 3.7884
_cell_length_b 5.7276
_cell_length_c 9.1943
_cell_angle_alpha 90.00
_cell_angle_beta 90.00
_cell_angle_gamma 90.00
loop_
_symmetry_equiv_pos_as_xyz
'x,y,z'
'-x,-y,z'
'-x,y,z'
'x,-y,z'
'x+1/2,y+1/2,z'
'-x+1/2,-y+1/2,z'
'-x+1/2,y+1/2,z'
'x+1/2,-y+1/2,z'
loop_
_atom_site_label
_atom_site_fract_x
_atom_site_fract_y
_atom_site_fract_z
_atom_site_occupancy
Sb1 0.0000 0.0000 0.0000 1
Sb2 0.0000 0.5000 0.3022 1
Pt1 0.0000 0.5000 0.8092 1
Br1 0.0000 0.0000 0.5996 1
```

(2)
Material: Tb2Er4Tm
Method: DFT, PBE
State: optimized geometry

## Properties
Its final energy is -4.426 eV/atom. The value obtained for the formation energy from the elements is 1.001 eV/f.u. For the spin magnetization, the calculation gives 0.00 μB per formula unit. The calculation puts the density at 8866 kg/m3. The calculation puts the energy relative to the lowest polymorph listed for this composition at 139 meV per atom.

Geometry as CIF:
```
data_Tb2Er4Tm
_chemical_formula_sum 'Tb4 Er8 Tm2'
_symmetry_space_group_name_H-M 'P 1 21/m 1'
_symmetry_Int_Tables_number 11
_cell_length_a 5.9555
_cell_length_b 6.5520
_cell_length_c 11.4434
_cell_angle_alpha 90.00
_cell_angle_beta 104.17
_cell_angle_gamma 90.00
loop_
_symmetry_equiv_pos_as_xyz
'x,y,z'
'-x,-y,-z'
'-x,y+1/2,-z'
'x,-y+1/2,z'
loop_
_atom_site_label
_atom_site_fract_x
_atom_site_fract_y
_atom_site_fract_z
_atom_site_occupancy
Tb1 0.0980 0.2500 0.4949 1
Tb2 0.2194 0.2500 0.0726 1
Er1 0.1509 0.0047 0.7898 1
Er2 0.3439 0.7500 0.0588 1
Er3 0.4816 0.7500 0.6445 1
Tm1 0.3524 0.7500 0.3439 1
```